DFT (PBE) results for YSc2InS after structural relaxation.

Unit cell a=4.8464 b=4.8464 c=5.1397 alpha=90.00 beta=90.00 gamma=90.00
Closest atoms and distances in Å follow each position.
Fractional coordinates of all 5 atoms:
S  0.0000  0.0000  0.0000  4 Sc 2.42, 2 Y 2.57
Sc  0.5000  0.0000  0.0000  2 S 2.42
Sc  0.0000  0.5000  0.0000  2 S 2.42
Y  0.0000  0.0000  0.5000  2 S 2.57
In  0.5000  0.5000  0.5000  4 Y 3.43, 8 Sc 3.53

Uncorrected energy ... -0.2240 Ha/atom
Raw formation energy ... -896 meV/atom
Mass density ... 4.48 Mg/m³